Record 1
Crystalline TaSbPb2 at its relaxed geometry, computed with PBE.

total DFT energy (no corrections) = -5.179 eV per atom
size of the total moment = 0.00 Bohr magnetons per cell
ΔE_f (raw) = 0.669 eV per atom
N(E_F) = 2.0 states/eV per cell

Unit cell a=5.1751 b=5.1751 c=3.7439 alpha=90.00 beta=90.00 gamma=90.00
With the nearest neighbours (Å) after each atom.
Space group P4/mmm (No. 123)
One atom of each set of equivalent atoms:
Ta: 0.0000 0.0000 0.0000 (multiplicity 1)  8 Pb 3.19
Sb: 0.5000 0.5000 0.0000 (multiplicity 1)  8 Pb 3.19
Pb: 0.0000 0.5000 0.5000 (multiplicity 2)  4 Ta 3.19, 4 Sb 3.19



Record 2
Crystalline Hf2Al4Pd at its relaxed geometry, computed with PBE.

total DFT energy (no corrections) = -5.512 eV per atom
size of the total moment = 0.00 Bohr magnetons per cell
formation energy from the elements = 0.21 eV/atom
energy above the lowest structure with this stoichiometry = 0.512 eV per atom
N(E_F) = 13.0 states/eV per cell

Unit cell a=4.6643 b=4.6643 c=13.7914 alpha=90.00 beta=90.00 gamma=90.00
With the nearest neighbours (Å) after each atom.
Space group I4/mmm (No. 139)
One atom of each set of equivalent atoms:
Hf: 0.0000 0.0000 0.1185 (multiplicity 4)  5 Al 2.77-2.85
Al: 0.0000 0.0000 0.3190 (multiplicity 4)  1 Pd 2.50, 1 Hf 2.77
Al: 0.0000 0.5000 0.0000 (multiplicity 4)  2 Pd 2.33
Pd: 0.0000 0.0000 0.5000 (multiplicity 2)  6 Al 2.33-2.50



Record 3
Crystalline Ac3Pr3YTe8 at its relaxed geometry, computed with PBE.

total DFT energy (no corrections) = -5.367 eV per atom
size of the total moment = 0.00 Bohr magnetons per cell
ΔE_f (raw) = -1.483 eV per atom
N(E_F) = 23.5 states/eV per cell

Unit cell a=9.1490 b=9.1490 c=22.8934 alpha=90.00 beta=90.00 gamma=120.00
With the nearest neighbours (Å) after each atom.
Space group R-3m (No. 166, hexagonal axes)
One atom of each set of equivalent atoms:
Ac: 0.0000 0.5000 0.0000 (multiplicity 9)  6 Te 3.31
Pr: 0.0000 0.5000 0.5000 (multiplicity 9)  6 Te 3.21
Y: 0.0000 0.0000 0.5000 (multiplicity 3)  6 Te 3.17
Te: 0.0000 0.0000 0.2461 (multiplicity 6)  3 Pr 3.21, 3 Ac 3.31
Te: 0.0036 0.5018 0.2454 (multiplicity 18)  1 Y 3.17, 2 Pr 3.21, 2 Ac 3.31



Record 4
Crystalline LiMgTc at its relaxed geometry, computed with PBE.

total DFT energy (no corrections) = -4.283 eV per atom
size of the total moment = 1.03 Bohr magnetons per cell
formation energy from the elements = 0.34 eV/atom
energy above the lowest structure with this stoichiometry = 0.352 eV per atom
N(E_F) = 5.1 states/eV per cell

Unit cell a=2.5686 b=4.3226 c=8.5310 alpha=90.00 beta=90.00 gamma=90.00
With the nearest neighbours (Å) after each atom.
Space group Imm2 (No. 44)
One atom of each set of equivalent atoms:
Li: 0.0000 0.0000 0.0000 (multiplicity 2)  2 Li 2.57, 1 Mg 2.81, 1 Tc 2.86
Mg: 0.0000 0.0000 0.6701 (multiplicity 2)  2 Mg 2.57, 1 Li 2.81, 1 Tc 2.85
Tc: 0.0000 0.0000 0.3356 (multiplicity 2)  2 Tc 2.57, 1 Mg 2.85, 1 Li 2.86



Record 5
Crystalline Ag3SF2 at its relaxed geometry, computed with PBE.

total DFT energy (no corrections) = -3.422 eV per atom
size of the total moment = 0.00 Bohr magnetons per cell
ΔE_f (raw) = -0.685 eV per atom
energy above the lowest structure with this stoichiometry = 0.009 eV per atom
N(E_F) = 8.1 states/eV per cell

Unit cell a=7.2091 b=5.1280 c=10.7920 alpha=90.00 beta=90.00 gamma=90.00
With the nearest neighbours (Å) after each atom.
Space group Pnma (No. 62)
One atom of each set of equivalent atoms:
Ag: 0.1315 0.2500 0.0842 (multiplicity 4)  1 F 2.32, 3 S 2.54-2.57
Ag: 0.1360 0.2500 0.4235 (multiplicity 4)  4 F 2.34-2.59, 1 S 2.48
Ag: 0.1395 0.2500 0.7545 (multiplicity 4)  4 F 2.41-2.61, 2 S 2.55
S: 0.1173 0.7500 0.0831 (multiplicity 4)  6 Ag 2.48-2.57
F: 0.1085 0.7500 0.4005 (multiplicity 4)  5 Ag 2.41-2.59
F: 0.1135 0.7500 0.7147 (multiplicity 4)  2 Ag 2.32-2.34